Compound: PmPrIn2
Source: OQMD via LeMat-Bulk
Functional: GGA-PBE
Structure: relaxed

Properties
* calculated density: 7.4 g/cm³
* E: -4.2459 eV/atom

abc: 3.8714 3.8714 7.7325
angles: 90.00 90.00 90.00
Last column: nearest neighbours and their distance in Å.
Element x y z (fractional)
In 0.5000 0.5000 0.2443  4 Pm 3.33, 4 Pr 3.38
In 0.5000 0.5000 0.7557  4 Pm 3.33, 4 Pr 3.38
Pm 0.0000 0.0000 0.0000  8 In 3.33
Pr 0.0000 0.0000 0.5000  8 In 3.38